Material: SrPuN2
Method: DFT, PBE-GGA
State: optimized geometry

```
SrPuN2
1.0
3.536 0.000 0.000
1.768 3.062 0.000
1.768 1.021 6.087
Sr Pu N
1 1 2
direct
0.496 0.496 0.511 Sr
0.667 0.667 0.999 Pu
0.269 0.269 0.193 N
0.067 0.067 0.798 N
```

Summary:
Raw total energy (eV/atom): -9.13
Formation energy from raw total energies (meV/atom): -961
Total magnetic moment (Bohr magnetons per cell): 4.0


Material: SrPuN
Method: DFT, PBE-GGA
State: optimized geometry

```
SrPuN
1.0
-0.798 -4.182 -1.224
3.374 -2.736 -0.868
0.918 -3.332 2.771
Sr N Pu
1 1 1
direct
0.000 0.000 0.000 Sr
0.250 0.250 0.250 N
0.500 0.500 0.500 Pu
```

Summary:
Raw total energy (eV/atom): -8.01
Relative energy among the computed polymorphs (kJ/mol of formula units): 199.2
Formation energy from raw total energies (meV/atom): 101
Total magnetic moment (Bohr magnetons per cell): 5.9


Material: SrPuN2
Method: DFT, PBE-GGA
State: optimized geometry

```
SrPuN2
1.0
-2.559 -1.507 0.697
0.949 -0.278 2.885
-2.790 5.404 1.439
N Sr Pu
2 1 1
direct
0.000 0.000 0.218 N
0.000 0.000 0.782 N
0.500 0.500 0.500 Sr
0.500 0.500 0.000 Pu
```

Summary:
Raw total energy (eV/atom): -8.58
Formation energy from raw total energies (meV/atom): -410
Total magnetic moment (Bohr magnetons per cell): 4.0


Which formula does entry 3 have? SrPuN2